PBE TaNbW6, relaxed; SG = Cmmm; spin magnetization = 0.000 μB/atom; crystal system = orthorhombic; energy of formation from the pure elements = -88 meV per atom; E_tot = -0.4609 Ha/atom
1.0
4.5485 0.0000 0.0000
0.0000 5.2392 -1.8381
0.0000 -0.0014 5.5523
W Nb Ta
6 1 1
direct
0.0000 0.8759 0.1241
0.5000 0.6250 0.8750
0.0000 0.8747 0.6247
0.0000 0.3741 0.6259
0.5000 0.1250 0.3750
0.0000 0.3753 0.1253
0.5000 0.6250 0.3750
0.5000 0.1250 0.8750